Entry 1:
A relaxed structure of NaAl4Ga2, computed with GGA-PBE.

Cell and atoms, written as POSCAR:
```
NaAl4Ga2
1.0
-1.703 1.793 3.292
-3.638 0.446 -2.125
-0.522 -7.140 3.619
Ga Al Na
2 4 1
direct
0.500 0.582 0.163
0.500 0.418 0.837
0.500 0.816 0.632
0.000 0.309 0.617
0.500 0.184 0.368
0.000 0.691 0.383
0.000 0.000 0.000
```

Results
Symmetry   Cmmm

***

Entry 2:
A relaxed structure of NaAl4Ga4, computed with GGA-PBE.

Cell and atoms, written as POSCAR:
```
NaAl4Ga4
1.0
6.398 0.000 0.000
0.000 6.398 0.000
0.000 0.000 8.875
Na Al Ga
2 8 8
direct
0.000 0.000 0.000
0.500 0.500 0.500
0.788 0.500 0.917
0.212 0.500 0.917
0.000 0.288 0.417
0.000 0.712 0.417
0.500 0.212 0.083
0.712 0.000 0.583
0.500 0.788 0.083
0.288 0.000 0.583
0.500 0.250 0.786
0.750 0.000 0.286
0.750 0.500 0.214
0.250 0.500 0.214
0.000 0.250 0.714
0.000 0.750 0.714
0.250 0.000 0.286
0.500 0.750 0.786
```

Results
Symmetry   P4_2/nmc

***

no.,calculated formation energy (eV per atom)
1,-0.0475
2,0.0520